TcPb2F: relaxed, PBE.

Uncorrected energy: -4.773 eV/atom
Energy above the most stable polymorph in this dataset: 0.123 eV per atom
Space group: I-42d (122)
Formation energy without anion corrections: 141 meV/atom

Unit cell a=7.508 b=7.508 c=7.508 alpha=133.60 beta=133.60 gamma=67.71
Element x y z (fractional)
1 Tc 0.000 0.000 0.000
2 Tc 0.750 0.250 0.500
3 Pb 0.133 0.625 0.008
4 Pb 0.375 0.383 0.508
5 Pb 0.617 0.125 0.992
6 Pb 0.875 0.867 0.492
7 F 0.250 0.750 0.500
8 F 0.500 0.500 0.000

=====

CrAsRu2: relaxed, PBE.

Calculated formation energy: 0.7 eV per formula unit
Uncorrected energy: -8.026 eV/atom
Space group: R3m (160)

Unit cell a=8.350 b=8.350 c=8.350 alpha=19.22 beta=19.22 gamma=19.22
Element x y z (fractional)
1 Cr 0.000 0.000 0.000
2 As 0.253 0.253 0.253
3 Ru 0.505 0.505 0.505
4 Ru 0.747 0.747 0.747

=====

Cr2HgRhCl: relaxed, PBE.

Uncorrected energy: -5.041 eV/atom
Space group: P4/mmm (123)
Formation energy without anion corrections: 709 meV/atom

Unit cell a=4.954 b=4.954 c=4.664 alpha=90.00 beta=90.00 gamma=90.00
Element x y z (fractional)
1 Cr 0.000 0.500 0.000
2 Cr 0.500 0.000 0.000
3 Hg 0.000 0.000 0.500
4 Rh 0.500 0.500 0.000
5 Cl 0.500 0.500 0.500

=====

LiP2: relaxed, PBE.

Calculated formation energy: 0.1 eV per formula unit
Uncorrected energy: -4.225 eV/atom
Energy above the most stable polymorph in this dataset: 0.358 eV per atom
Space group: P6/mmm (191)

Unit cell a=4.027 b=4.027 c=3.744 alpha=90.00 beta=90.00 gamma=120.00
Element x y z (fractional)
1 Li 0.000 0.000 0.000
2 P 0.333 0.667 0.500
3 P 0.667 0.333 0.500

=====

Rb2Dy2PaS6: relaxed, PBE.

Uncorrected energy: -5.937 eV/atom
Space group: C2/m (12)
Formation energy without anion corrections: -1810 meV/atom

Unit cell a=6.996 b=6.996 c=8.223 alpha=98.29 beta=98.29 gamma=119.92
Element x y z (fractional)
1 Rb 0.168 0.832 0.000
2 Rb 0.832 0.168 0.000
3 Dy 0.334 0.666 0.500
4 Dy 0.666 0.334 0.500
5 Pa 0.000 0.000 0.500
6 S 0.061 0.393 0.687
7 S 0.265 0.265 0.313
8 S 0.393 0.061 0.687
9 S 0.607 0.939 0.313
10 S 0.735 0.735 0.687
11 S 0.939 0.607 0.313

=====

KTlZnCd2: relaxed, PBE.

Calculated formation energy: 0.3 eV per formula unit
Uncorrected energy: -1.252 eV/atom
Space group: P4/mmm (123)

Unit cell a=5.334 b=5.334 c=5.419 alpha=90.00 beta=90.00 gamma=90.00
Element x y z (fractional)
1 K 0.000 0.000 0.000
2 Tl 0.500 0.500 0.000
3 Zn 0.500 0.500 0.500
4 Cd 0.000 0.500 0.500
5 Cd 0.500 0.000 0.500

=====

Repeat the second record exactly.
CrAsRu2: relaxed, PBE.

Calculated formation energy: 0.7 eV per formula unit
Uncorrected energy: -8.026 eV/atom
Space group: R3m (160)

Unit cell a=8.350 b=8.350 c=8.350 alpha=19.22 beta=19.22 gamma=19.22
Element x y z (fractional)
1 Cr 0.000 0.000 0.000
2 As 0.253 0.253 0.253
3 Ru 0.505 0.505 0.505
4 Ru 0.747 0.747 0.747

=====

- uncorrected energy of number 1 (TcPb2F)?
  -4.773 eV/atom

=====

- Look up the uncorrected energy of the second one.
  -8.026 eV/atom

=====

- Which of these has the lowest uncorrected energy?
  CrAsRu2